# CsTlSe

A relaxed CsTlSe crystal (PBE, Alexandria via LeMat-Bulk).

Computed properties:
Symmetry: I4mm, No. 107
Energy relative to the lowest polymorph listed for this composition in kJ per mole of atoms: 12.0
Mass density in g/cm³: 6.33
Formation energy from raw total energies in eV/atom: -0.657

a = 4.116 Å, b = 4.116 Å, c = 7.075 Å
α = 106.91°, β = 106.91°, γ = 90.00°
Atoms (fractional coordinates):
Se 0.693 0.693 0.386
Tl 0.295 0.295 0.590
Cs 0.012 0.012 0.024


# CsTlSe2

A relaxed CsTlSe2 crystal (PBE, Alexandria via LeMat-Bulk).

Computed properties:
Symmetry: R-3m, No. 166
Mass density in g/cm³: 6.24
Formation energy from raw total energies in eV/atom: 0.087

a = 12.240 Å, b = 12.240 Å, c = 12.240 Å
α = 16.68°, β = 16.68°, γ = 16.68°
Atoms (fractional coordinates):
Se 0.087 0.087 0.087
Se 0.913 0.913 0.913
Tl 0.000 0.000 0.000
Cs 0.500 0.500 0.500


# CsTlSe

A relaxed CsTlSe crystal (PBE, Alexandria via LeMat-Bulk).

Computed properties:
Symmetry: Pnma, No. 62
Energy relative to the lowest polymorph listed for this composition in kJ per mole of atoms: 0.0
Mass density in g/cm³: 5.72
Formation energy from raw total energies in eV/atom: -0.782

a = 4.660 Å, b = 8.509 Å, c = 12.198 Å
α = 90.00°, β = 90.00°, γ = 90.00°
Atoms (fractional coordinates):
Cs 0.250 0.999 0.307
Cs 0.250 0.499 0.193
Cs 0.750 0.001 0.693
Cs 0.750 0.501 0.807
Tl 0.250 0.667 0.556
Tl 0.250 0.167 0.944
Tl 0.750 0.833 0.056
Tl 0.750 0.333 0.444
Se 0.250 0.317 0.604
Se 0.250 0.817 0.896
Se 0.750 0.183 0.104
Se 0.750 0.683 0.396